1.
A plane-wave DFT calculation with PBE was carried out for a relaxed structure of Co2SbAs2.

a = 7.273 Å, b = 7.273 Å, c = 3.001 Å
α = 90.00°, β = 90.00°, γ = 90.00°
Fractional positions:
Sb: 0.000 0.000 0.000
Sb: 0.500 0.500 0.000
As: 0.140 0.640 0.500
As: 0.640 0.860 0.500
As: 0.860 0.360 0.500
As: 0.360 0.140 0.500
Co: 0.371 0.871 0.000
Co: 0.871 0.629 0.000
Co: 0.629 0.129 0.000
Co: 0.129 0.371 0.000

Results
**DOS at the Fermi energy**: 0.441 states/eV/atom
**E_form (uncorrected)**: 10.31 kJ per mole of atoms
**Calculated total energy**: -5.420 eV per atom
**SG**: No. 127

2.
A plane-wave DFT calculation with PBE was carried out for a relaxed structure of Mg6CuBiO8.

a = 4.463 Å, b = 4.463 Å, c = 9.032 Å
α = 90.00°, β = 90.00°, γ = 90.00°
Fractional positions:
Mg: 0.500 0.500 0.000
Mg: 0.500 0.500 0.500
Mg: 0.000 0.500 0.224
Mg: 0.000 0.500 0.776
Mg: 0.500 0.000 0.224
Mg: 0.500 0.000 0.776
Cu: 0.000 0.000 0.000
Bi: 0.000 0.000 0.500
O: 0.000 0.000 0.242
O: 0.000 0.000 0.758
O: 0.500 0.500 0.250
O: 0.500 0.500 0.750
O: 0.000 0.500 0.000
O: 0.000 0.500 0.500
O: 0.500 0.000 0.000
O: 0.500 0.000 0.500

Results
**DOS at the Fermi energy**: 0.143 states/eV/atom
**E_form (uncorrected)**: -193.70 kJ per mole of atoms
**Calculated total energy**: -5.583 eV per atom
**SG**: No. 123